No. 1
# Ac6Si2ICl3

Crystalline Ac6Si2ICl3 at its relaxed geometry (PBE, the Alexandria database).

a b c (Å): 19.364 4.588 8.907
angles (deg): 90.00 99.70 90.00
Space group C2/m (No. 12)
Inequivalent atoms, fractional coordinates:
Ac1 0.007 0.000 0.273 x4
Ac2 0.171 0.500 0.573 x4
Ac3 0.175 0.500 0.107 x4
Si1 0.166 0.000 0.333 x4
I1 0.000 0.500 0.000 x2
Cl1 0.000 0.500 0.500 x2
Cl2 0.166 0.000 0.837 x4

## Properties
Raw formation energy in eV per atom: -1.14
Crystal system: monoclinic

No. 2
# Mn2BeCu

Crystalline Mn2BeCu at its relaxed geometry (PBE, the Alexandria database).

a b c (Å): 2.911 3.664 7.797
angles (deg): 90.00 90.00 90.00
Space group Cmmm (No. 65)
Inequivalent atoms, fractional coordinates:
Mn1 0.000 0.000 0.231 x4
Be1 0.000 0.500 0.000 x2
Cu1 0.000 0.500 0.500 x2

## Properties
Crystal system: orthorhombic
DFT formation energy in eV/atom: 0.1629

No. 3
# Hf2ThGa

Crystalline Hf2ThGa at its relaxed geometry (PBE, the Alexandria database).

a b c (Å): 4.575 4.575 4.352
angles (deg): 90.00 90.00 90.00
Space group P4/mmm (No. 123)
Inequivalent atoms, fractional coordinates:
Hf1 0.000 0.500 0.000 x2
Th1 0.000 0.000 0.500 x1
Ga1 0.500 0.500 0.500 x1

## Properties
Energy above the most stable polymorph in this dataset in eV/atom: 0.000
Crystal system: tetragonal
DFT formation energy in eV/atom: -0.1121

Let's list total magnetization in order: 0.0 0.0 0.0 Bohr magnetons per cell.